U5VSb3: optimized geometry, PBE-GGA.

Cell: 9.165 9.165 5.955 Å, 90.00 90.00 120.00°
Element x y z (fractional)
1 U 0.000 0.257 0.250
2 U 0.000 0.743 0.750
3 U 0.257 0.000 0.250
4 U 0.257 0.257 0.750
5 U 0.333 0.667 0.000
6 U 0.333 0.667 0.500
7 U 0.667 0.333 0.000
8 U 0.667 0.333 0.500
9 U 0.743 0.000 0.750
10 U 0.743 0.743 0.250
11 V 0.000 0.000 0.000
12 V 0.000 0.000 0.500
13 Sb 0.000 0.386 0.750
14 Sb 0.000 0.614 0.250
15 Sb 0.386 0.000 0.750
16 Sb 0.386 0.386 0.250
17 Sb 0.614 0.000 0.250
18 Sb 0.614 0.614 0.750

Properties
Energy relative to the elements, uncorrected   0.045 eV/atom
Density of states at the Fermi level   3.0443 states/eV per atom